(1)
# PBE Dy4Hg2SeS, relaxed
# - Mass density: 9.54 g/cm³
# - Uncorrected formation energy: -110.7 kJ/mol of atoms
# - Space group: No. 10
data_Dy4Hg2SeS
_space_group_name_H-M_alt 'P 1'
_space_group_IT_number 1
_cell_length_a 6.8136
_cell_length_b 3.9205
_cell_length_c 7.9031
_cell_angle_alpha 90.00
_cell_angle_beta 106.60
_cell_angle_gamma 90.00
loop_
_space_group_symop_operation_xyz
'x,y,z'
loop_
_atom_site_label
_atom_site_type_symbol
_atom_site_fract_x
_atom_site_fract_y
_atom_site_fract_z
_atom_site_occupancy
Dy1 Dy 0.2321 0.0000 0.2185 1
Dy2 Dy 0.2517 0.5000 0.7762 1
Dy3 Dy 0.7483 0.5000 0.2238 1
Dy4 Dy 0.7679 0.0000 0.7815 1
Hg1 Hg 0.0000 0.0000 0.5000 1
Hg2 Hg 0.5000 0.5000 0.5000 1
Se1 Se 0.5000 0.0000 0.0000 1
S1 S 0.0000 0.5000 0.0000 1

***

(2)
# PBE Dy4HgSb3, relaxed
# - Mass density: 8.52 g/cm³
# - Uncorrected formation energy: -82.4 kJ/mol of atoms
# - Space group: No. 221
data_Dy4HgSb3
_space_group_name_H-M_alt 'P 1'
_space_group_IT_number 1
_cell_length_a 6.1881
_cell_length_b 6.1881
_cell_length_c 6.1881
_cell_angle_alpha 90.00
_cell_angle_beta 90.00
_cell_angle_gamma 90.00
loop_
_space_group_symop_operation_xyz
'x,y,z'
loop_
_atom_site_label
_atom_site_type_symbol
_atom_site_fract_x
_atom_site_fract_y
_atom_site_fract_z
_atom_site_occupancy
Dy1 Dy 0.0000 0.0000 0.0000 1
Dy2 Dy 0.0000 0.5000 0.5000 1
Dy3 Dy 0.5000 0.0000 0.5000 1
Dy4 Dy 0.5000 0.5000 0.0000 1
Hg1 Hg 0.5000 0.5000 0.5000 1
Sb1 Sb 0.0000 0.0000 0.5000 1
Sb2 Sb 0.0000 0.5000 0.0000 1
Sb3 Sb 0.5000 0.0000 0.0000 1

***

(3)
# PBE DyHgSb2, relaxed
# - Mass density: 9.78 g/cm³
# - Uncorrected formation energy: -41.9 kJ/mol of atoms
# - Space group: No. 123
# - Offset from the most stable computed form: 0.00 eV per formula unit
data_DyHgSb2
_space_group_name_H-M_alt 'P 1'
_space_group_IT_number 1
_cell_length_a 4.9391
_cell_length_b 4.9391
_cell_length_c 4.2212
_cell_angle_alpha 90.00
_cell_angle_beta 90.00
_cell_angle_gamma 90.00
loop_
_space_group_symop_operation_xyz
'x,y,z'
loop_
_atom_site_label
_atom_site_type_symbol
_atom_site_fract_x
_atom_site_fract_y
_atom_site_fract_z
_atom_site_occupancy
Dy1 Dy 0.0000 0.0000 0.0000 1
Hg1 Hg 0.5000 0.5000 0.0000 1
Sb1 Sb 0.0000 0.5000 0.5000 1
Sb2 Sb 0.5000 0.0000 0.5000 1

***

(4)
# PBE DyHgSb2, relaxed
# - Mass density: 6.66 g/cm³
# - Uncorrected formation energy: -22.9 kJ/mol of atoms
# - Space group: No. 166
# - Offset from the most stable computed form: 0.79 eV per formula unit
data_DyHgSb2
_space_group_name_H-M_alt 'P 1'
_space_group_IT_number 1
_cell_length_a 9.2114
_cell_length_b 9.2114
_cell_length_c 9.2114
_cell_angle_alpha 27.91
_cell_angle_beta 27.91
_cell_angle_gamma 27.91
loop_
_space_group_symop_operation_xyz
'x,y,z'
loop_
_atom_site_label
_atom_site_type_symbol
_atom_site_fract_x
_atom_site_fract_y
_atom_site_fract_z
_atom_site_occupancy
Dy1 Dy 0.0000 0.0000 0.0000 1
Hg1 Hg 0.5000 0.5000 0.5000 1
Sb1 Sb 0.3980 0.3980 0.3980 1
Sb2 Sb 0.6020 0.6020 0.6020 1

***

(5)
# PBE Dy8Hg2Sb, relaxed
# - Mass density: 9.36 g/cm³
# - Uncorrected formation energy: -30.8 kJ/mol of atoms
# - Space group: No. 12
data_Dy8Hg2Sb
_space_group_name_H-M_alt 'P 1'
_space_group_IT_number 1
_cell_length_a 9.5235
_cell_length_b 9.5235
_cell_length_c 7.0183
_cell_angle_alpha 99.94
_cell_angle_beta 99.94
_cell_angle_gamma 31.09
loop_
_space_group_symop_operation_xyz
'x,y,z'
loop_
_atom_site_label
_atom_site_type_symbol
_atom_site_fract_x
_atom_site_fract_y
_atom_site_fract_z
_atom_site_occupancy
Dy1 Dy 0.0280 0.0280 0.2495 1
Dy2 Dy 0.2022 0.2022 0.8204 1
Dy3 Dy 0.3358 0.3358 0.5341 1
Dy4 Dy 0.4101 0.4101 0.0497 1
Dy5 Dy 0.5899 0.5899 0.9503 1
Dy6 Dy 0.6642 0.6642 0.4659 1
Dy7 Dy 0.7978 0.7978 0.1796 1
Dy8 Dy 0.9720 0.9720 0.7505 1
Hg1 Hg 0.1935 0.1935 0.2379 1
Hg2 Hg 0.8065 0.8065 0.7621 1
Sb1 Sb 0.5000 0.5000 0.5000 1

***

(6)
# PBE Dy3HgSb, relaxed
# - Mass density: 8.65 g/cm³
# - Uncorrected formation energy: -17.5 kJ/mol of atoms
# - Space group: No. 65
data_Dy3HgSb
_space_group_name_H-M_alt 'P 1'
_space_group_IT_number 1
_cell_length_a 8.6036
_cell_length_b 8.6036
_cell_length_c 5.1787
_cell_angle_alpha 90.00
_cell_angle_beta 90.00
_cell_angle_gamma 125.75
loop_
_space_group_symop_operation_xyz
'x,y,z'
loop_
_atom_site_label
_atom_site_type_symbol
_atom_site_fract_x
_atom_site_fract_y
_atom_site_fract_z
_atom_site_occupancy
Dy1 Dy 0.0000 0.5000 0.5000 1
Dy2 Dy 0.1620 0.8380 0.0000 1
Dy3 Dy 0.3161 0.3161 0.5000 1
Dy4 Dy 0.5000 0.0000 0.5000 1
Dy5 Dy 0.6839 0.6839 0.5000 1
Dy6 Dy 0.8380 0.1620 0.0000 1
Hg1 Hg 0.0936 0.9064 0.5000 1
Hg2 Hg 0.9064 0.0936 0.5000 1
Sb1 Sb 0.3661 0.6339 0.0000 1
Sb2 Sb 0.6339 0.3661 0.0000 1

***

(7)
# PBE Dy7Hg2Sb2, relaxed
# - Mass density: 8.50 g/cm³
# - Uncorrected formation energy: -23.8 kJ/mol of atoms
# - Space group: No. 65
data_Dy7Hg2Sb2
_space_group_name_H-M_alt 'P 1'
_space_group_IT_number 1
_cell_length_a 7.0109
_cell_length_b 7.0109
_cell_length_c 7.2475
_cell_angle_alpha 90.00
_cell_angle_beta 90.00
_cell_angle_gamma 102.07
loop_
_space_group_symop_operation_xyz
'x,y,z'
loop_
_atom_site_label
_atom_site_type_symbol
_atom_site_fract_x
_atom_site_fract_y
_atom_site_fract_z
_atom_site_occupancy
Dy1 Dy 0.0000 0.0000 0.0000 1
Dy2 Dy 0.0000 0.5000 0.2708 1
Dy3 Dy 0.0000 0.5000 0.7292 1
Dy4 Dy 0.5000 0.0000 0.2708 1
Dy5 Dy 0.5000 0.0000 0.7292 1
Dy6 Dy 0.5000 0.5000 0.2510 1
Dy7 Dy 0.5000 0.5000 0.7490 1
Hg1 Hg 0.2804 0.7196 0.0000 1
Hg2 Hg 0.7196 0.2804 0.0000 1
Sb1 Sb 0.2004 0.2004 0.5000 1
Sb2 Sb 0.7996 0.7996 0.5000 1

***

(8)
# PBE Dy6Hg5Sb, relaxed
# - Mass density: 11.23 g/cm³
# - Uncorrected formation energy: -52.6 kJ/mol of atoms
# - Space group: No. 71
data_Dy6Hg5Sb
_space_group_name_H-M_alt 'P 1'
_space_group_IT_number 1
_cell_length_a 9.1637
_cell_length_b 9.1637
_cell_length_c 9.1637
_cell_angle_alpha 146.40
_cell_angle_beta 132.63
_cell_angle_gamma 59.32
loop_
_space_group_symop_operation_xyz
'x,y,z'
loop_
_atom_site_label
_atom_site_type_symbol
_atom_site_fract_x
_atom_site_fract_y
_atom_site_fract_z
_atom_site_occupancy
Dy1 Dy 0.0823 0.8340 0.2483 1
Dy2 Dy 0.2494 0.5000 0.7494 1
Dy3 Dy 0.4144 0.1660 0.2483 1
Dy4 Dy 0.5856 0.8340 0.7517 1
Dy5 Dy 0.7506 0.5000 0.2506 1
Dy6 Dy 0.9177 0.1660 0.7517 1
Hg1 Hg 0.1766 0.6766 0.5000 1
Hg2 Hg 0.3336 0.3336 0.0000 1
Hg3 Hg 0.5000 0.0000 0.5000 1
Hg4 Hg 0.6664 0.6664 0.0000 1
Hg5 Hg 0.8234 0.3234 0.5000 1
Sb1 Sb 0.0000 0.0000 0.0000 1

***

(9)
# PBE Dy4HgSb2Se, relaxed
# - Mass density: 8.70 g/cm³
# - Uncorrected formation energy: -103.8 kJ/mol of atoms
# - Space group: No. 10
data_Dy4HgSb2Se
_space_group_name_H-M_alt 'P 1'
_space_group_IT_number 1
_cell_length_a 7.2117
_cell_length_b 4.2436
_cell_length_c 7.7291
_cell_angle_alpha 90.00
_cell_angle_beta 108.76
_cell_angle_gamma 90.00
loop_
_space_group_symop_operation_xyz
'x,y,z'
loop_
_atom_site_label
_atom_site_type_symbol
_atom_site_fract_x
_atom_site_fract_y
_atom_site_fract_z
_atom_site_occupancy
Dy1 Dy 0.2428 0.0000 0.2406 1
Dy2 Dy 0.2446 0.5000 0.7600 1
Dy3 Dy 0.7554 0.5000 0.2400 1
Dy4 Dy 0.7572 0.0000 0.7594 1
Hg1 Hg 0.0000 0.0000 0.5000 1
Sb1 Sb 0.5000 0.0000 0.0000 1
Sb2 Sb 0.5000 0.5000 0.5000 1
Se1 Se 0.0000 0.5000 0.0000 1

***

(10)
# PBE Dy4HgSbSe2, relaxed
# - Mass density: 8.87 g/cm³
# - Uncorrected formation energy: -120.1 kJ/mol of atoms
# - Space group: No. 10
data_Dy4HgSbSe2
_space_group_name_H-M_alt 'P 1'
_space_group_IT_number 1
_cell_length_a 7.1203
_cell_length_b 4.1342
_cell_length_c 7.5700
_cell_angle_alpha 90.00
_cell_angle_beta 108.29
_cell_angle_gamma 90.00
loop_
_space_group_symop_operation_xyz
'x,y,z'
loop_
_atom_site_label
_atom_site_type_symbol
_atom_site_fract_x
_atom_site_fract_y
_atom_site_fract_z
_atom_site_occupancy
Dy1 Dy 0.2448 0.0000 0.2367 1
Dy2 Dy 0.2523 0.5000 0.7654 1
Dy3 Dy 0.7477 0.5000 0.2346 1
Dy4 Dy 0.7552 0.0000 0.7633 1
Hg1 Hg 0.0000 0.0000 0.5000 1
Sb1 Sb 0.5000 0.5000 0.5000 1
Se1 Se 0.0000 0.5000 0.0000 1
Se2 Se 0.5000 0.0000 0.0000 1

***

Please write out number 7 again, unchanged.
# PBE Dy7Hg2Sb2, relaxed
# - Mass density: 8.50 g/cm³
# - Uncorrected formation energy: -23.8 kJ/mol of atoms
# - Space group: No. 65
data_Dy7Hg2Sb2
_space_group_name_H-M_alt 'P 1'
_space_group_IT_number 1
_cell_length_a 7.0109
_cell_length_b 7.0109
_cell_length_c 7.2475
_cell_angle_alpha 90.00
_cell_angle_beta 90.00
_cell_angle_gamma 102.07
loop_
_space_group_symop_operation_xyz
'x,y,z'
loop_
_atom_site_label
_atom_site_type_symbol
_atom_site_fract_x
_atom_site_fract_y
_atom_site_fract_z
_atom_site_occupancy
Dy1 Dy 0.0000 0.0000 0.0000 1
Dy2 Dy 0.0000 0.5000 0.2708 1
Dy3 Dy 0.0000 0.5000 0.7292 1
Dy4 Dy 0.5000 0.0000 0.2708 1
Dy5 Dy 0.5000 0.0000 0.7292 1
Dy6 Dy 0.5000 0.5000 0.2510 1
Dy7 Dy 0.5000 0.5000 0.7490 1
Hg1 Hg 0.2804 0.7196 0.0000 1
Hg2 Hg 0.7196 0.2804 0.0000 1
Sb1 Sb 0.2004 0.2004 0.5000 1
Sb2 Sb 0.7996 0.7996 0.5000 1

***

Q: Look up the uncorrected formation energy of the eighth one.
A: -52.6 kJ/mol of atoms